[1]
DFT (PBE) results for a relaxed TcTeOs2 crystal. Values from VASP.

Cell and atoms, written as Quantum ESPRESSO input:
```
&SYSTEM
  ibrav = 0, nat = 4, ntyp = 3
/
ATOMIC_SPECIES
Tc 98.00 Tc.upf
Te 127.60 Te.upf
Os 190.23 Os.upf
CELL_PARAMETERS angstrom
-2.008 2.008 3.924
2.008 -2.008 3.924
2.008 2.008 -3.924
ATOMIC_POSITIONS crystal
Tc 0.000 0.000 0.000
Te 0.500 0.500 0.000
Os 0.250 0.750 0.500
Os 0.750 0.250 0.500
```

Output
* total magnetic moment: 0.000 μB per formula unit
* energy above the most stable polymorph in this dataset: 127 meV per atom
* DFT total energy: -8.293 eV/atom
* space group: No. 139

[2]
DFT (PBE) results for a relaxed In6SnPb4 crystal. Values from VASP.

Cell and atoms, written as Quantum ESPRESSO input:
```
&SYSTEM
  ibrav = 0, nat = 22, ntyp = 3
/
ATOMIC_SPECIES
In 114.82 In.upf
Sn 118.71 Sn.upf
Pb 207.20 Pb.upf
CELL_PARAMETERS angstrom
4.950 0.000 0.000
2.444 5.421 0.000
1.704 1.972 23.726
ATOMIC_POSITIONS crystal
In 0.000 0.000 0.000
In 0.091 0.540 0.272
In 0.178 0.095 0.545
In 0.227 0.864 0.683
In 0.271 0.638 0.817
In 0.362 0.181 0.093
In 0.500 0.500 0.500
In 0.638 0.819 0.907
In 0.729 0.362 0.183
In 0.773 0.136 0.317
In 0.822 0.905 0.455
In 0.909 0.460 0.728
Sn 0.409 0.963 0.228
Sn 0.591 0.037 0.772
Pb 0.046 0.777 0.139
Pb 0.142 0.313 0.409
Pb 0.316 0.406 0.955
Pb 0.455 0.726 0.362
Pb 0.545 0.274 0.638
Pb 0.684 0.594 0.045
Pb 0.858 0.687 0.591
Pb 0.954 0.223 0.861
```

Output
* total magnetic moment: 0.000 μB per formula unit
* DFT total energy: -3.193 eV/atom
* formation enthalpy at 0 K: 0.013 eV/atom
* space group: No. 2

[3]
DFT (PBE) results for a relaxed Tb2SmY4 crystal. Values from VASP.

Cell and atoms, written as Quantum ESPRESSO input:
```
&SYSTEM
  ibrav = 0, nat = 7, ntyp = 3
/
ATOMIC_SPECIES
Tb 158.93 Tb.upf
Sm 150.36 Sm.upf
Y 88.91 Y.upf
CELL_PARAMETERS angstrom
8.386 -1.779 0.000
8.386 1.779 0.000
-4.338 0.000 7.640
ATOMIC_POSITIONS crystal
Tb 0.070 0.070 0.430
Tb 0.930 0.930 0.570
Sm 0.000 0.000 0.000
Y 0.295 0.295 0.706
Y 0.358 0.358 0.164
Y 0.642 0.642 0.836
Y 0.705 0.705 0.294
```

Output
* total magnetic moment: 0.000 μB per formula unit
* energy above the most stable polymorph in this dataset: 0 meV per atom
* DFT total energy: -5.661 eV/atom
* formation enthalpy at 0 K: 0.030 eV/atom
* space group: No. 12

[4]
DFT (PBE) results for a relaxed AcGeRh crystal. Values from VASP.

Cell and atoms, written as Quantum ESPRESSO input:
```
&SYSTEM
  ibrav = 0, nat = 12, ntyp = 3
/
ATOMIC_SPECIES
Ac 227.00 Ac.upf
Ge 72.64 Ge.upf
Rh 102.91 Rh.upf
CELL_PARAMETERS angstrom
6.650 0.000 0.000
0.000 6.650 0.000
0.000 0.000 6.650
ATOMIC_POSITIONS crystal
Ac 0.146 0.146 0.146
Ac 0.354 0.854 0.646
Ac 0.646 0.354 0.854
Ac 0.854 0.646 0.354
Ge 0.160 0.340 0.660
Ge 0.340 0.660 0.160
Ge 0.660 0.160 0.340
Ge 0.840 0.840 0.840
Rh 0.076 0.576 0.924
Rh 0.424 0.424 0.424
Rh 0.576 0.924 0.076
Rh 0.924 0.076 0.576
```

Output
* total magnetic moment: 0.000 μB per formula unit
* energy above the most stable polymorph in this dataset: 0 meV per atom
* DFT total energy: -6.221 eV/atom
* formation enthalpy at 0 K: -0.861 eV/atom
* space group: No. 198

[5]
DFT (PBE) results for a relaxed Y2CdO crystal. Values from VASP.

Cell and atoms, written as Quantum ESPRESSO input:
```
&SYSTEM
  ibrav = 0, nat = 8, ntyp = 3
/
ATOMIC_SPECIES
Y 88.91 Y.upf
Cd 112.41 Cd.upf
O 16.00 O.upf
CELL_PARAMETERS angstrom
3.233 -3.202 0.000
3.233 3.202 0.000
-1.326 0.000 8.577
ATOMIC_POSITIONS crystal
Y 0.248 0.752 0.000
Y 0.306 0.306 0.332
Y 0.694 0.694 0.668
Y 0.752 0.248 0.000
Cd 0.179 0.179 0.677
Cd 0.821 0.821 0.323
O 0.269 0.269 0.069
O 0.731 0.731 0.931
```

Output
* total magnetic moment: 0.000 μB per formula unit
* energy above the most stable polymorph in this dataset: 0 meV per atom
* DFT total energy: -6.233 eV/atom
* space group: No. 12

[6]
DFT (PBE) results for a relaxed YPuIrPd crystal. Values from VASP.

Cell and atoms, written as Quantum ESPRESSO input:
```
&SYSTEM
  ibrav = 0, nat = 4, ntyp = 4
/
ATOMIC_SPECIES
Y 88.91 Y.upf
Pu 244.00 Pu.upf
Ir 192.22 Ir.upf
Pd 106.42 Pd.upf
CELL_PARAMETERS angstrom
3.449 0.000 0.000
0.000 3.449 0.000
0.000 0.000 7.094
ATOMIC_POSITIONS crystal
Y 0.000 0.000 0.000
Pu 0.000 0.000 0.522
Ir 0.500 0.500 0.755
Pd 0.500 0.500 0.248
```

Output
* total magnetic moment: 5.159 μB per formula unit
* DFT total energy: -9.339 eV/atom
* formation enthalpy at 0 K: -0.627 eV/atom
* space group: No. 99

[7]
DFT (PBE) results for a relaxed LaPmPrSn crystal. Values from VASP.

Cell and atoms, written as Quantum ESPRESSO input:
```
&SYSTEM
  ibrav = 0, nat = 4, ntyp = 4
/
ATOMIC_SPECIES
La 138.91 La.upf
Pm 145.00 Pm.upf
Pr 140.91 Pr.upf
Sn 118.71 Sn.upf
CELL_PARAMETERS angstrom
0.000 3.949 3.949
3.949 0.000 3.949
3.949 3.949 0.000
ATOMIC_POSITIONS crystal
La 0.000 0.000 0.000
Pm 0.250 0.250 0.250
Pr 0.750 0.750 0.750
Sn 0.500 0.500 0.500
```

Output
* total magnetic moment: 0.000 μB per formula unit
* DFT total energy: -4.885 eV/atom
* formation enthalpy at 0 K: -0.270 eV/atom
* space group: No. 216

[8]
DFT (PBE) results for a relaxed DyLuZrAl crystal. Values from VASP.

Cell and atoms, written as Quantum ESPRESSO input:
```
&SYSTEM
  ibrav = 0, nat = 4, ntyp = 4
/
ATOMIC_SPECIES
Dy 162.50 Dy.upf
Lu 174.97 Lu.upf
Zr 91.22 Zr.upf
Al 26.98 Al.upf
CELL_PARAMETERS angstrom
0.000 3.627 3.627
3.627 0.000 3.627
3.627 3.627 0.000
ATOMIC_POSITIONS crystal
Dy 0.000 0.000 0.000
Lu 0.750 0.750 0.750
Zr 0.500 0.500 0.500
Al 0.250 0.250 0.250
```

Output
* total magnetic moment: 0.009 μB per formula unit
* DFT total energy: -5.387 eV/atom
* formation enthalpy at 0 K: -0.034 eV/atom
* space group: No. 216

Repeat the second record exactly.
DFT (PBE) results for a relaxed In6SnPb4 crystal. Values from VASP.

Cell and atoms, written as Quantum ESPRESSO input:
```
&SYSTEM
  ibrav = 0, nat = 22, ntyp = 3
/
ATOMIC_SPECIES
In 114.82 In.upf
Sn 118.71 Sn.upf
Pb 207.20 Pb.upf
CELL_PARAMETERS angstrom
4.950 0.000 0.000
2.444 5.421 0.000
1.704 1.972 23.726
ATOMIC_POSITIONS crystal
In 0.000 0.000 0.000
In 0.091 0.540 0.272
In 0.178 0.095 0.545
In 0.227 0.864 0.683
In 0.271 0.638 0.817
In 0.362 0.181 0.093
In 0.500 0.500 0.500
In 0.638 0.819 0.907
In 0.729 0.362 0.183
In 0.773 0.136 0.317
In 0.822 0.905 0.455
In 0.909 0.460 0.728
Sn 0.409 0.963 0.228
Sn 0.591 0.037 0.772
Pb 0.046 0.777 0.139
Pb 0.142 0.313 0.409
Pb 0.316 0.406 0.955
Pb 0.455 0.726 0.362
Pb 0.545 0.274 0.638
Pb 0.684 0.594 0.045
Pb 0.858 0.687 0.591
Pb 0.954 0.223 0.861
```

Output
* total magnetic moment: 0.000 μB per formula unit
* DFT total energy: -3.193 eV/atom
* formation enthalpy at 0 K: 0.013 eV/atom
* space group: No. 2